Entry 1:
First-principles (PBE) data for Ba2TaAg after structural relaxation, as listed in Alexandria.

a b c (Å): 5.5965 5.5965 5.5965
angles (deg): 60.00 60.00 60.00
Last column: nearest neighbours and their distance in Å.
Sites, in units of the cell vectors:
Ba 0.0000 0.0000 0.0000  4 Ta 3.43, 4 Ba 3.43
Ba 0.2500 0.2500 0.2500  4 Ag 3.43, 4 Ba 3.43
Ta 0.7500 0.7500 0.7500  4 Ag 3.43, 4 Ba 3.43
Ag 0.5000 0.5000 0.5000  4 Ta 3.43, 4 Ba 3.43

The symmetry is No. 216. The crystal system is cubic. As for the energy above the most stable polymorph in this dataset: 0.324 eV/atom.

Entry 2:
First-principles (PBE) data for BaTaAg after structural relaxation, as listed in Alexandria.

a b c (Å): 6.2412 6.2412 6.2412
angles (deg): 114.87 86.56 129.75
Last column: nearest neighbours and their distance in Å.
Sites, in units of the cell vectors:
Ba 0.1178 0.2500 0.3678  4 Ag 3.29-3.34, 2 Ta 3.57-3.62, 2 Ba 3.58
Ba 0.8822 0.7500 0.6322  4 Ag 3.29-3.34, 2 Ta 3.57-3.62, 2 Ba 3.58
Ta 0.4790 0.9689 0.0102  2 Ta 2.66
Ta 0.9587 0.4689 0.9898  2 Ta 2.66
Ag 0.4944 0.4944 0.0000  4 Ta 3.00-3.25, 4 Ba 3.29-3.34
Ag 0.4944 0.9944 0.5000  4 Ta 3.00-3.25, 4 Ba 3.29-3.34

The symmetry is No. 46. The crystal system is orthorhombic. As for the energy above the most stable polymorph in this dataset: 0.184 eV/atom.

Entry 3:
First-principles (PBE) data for BaTaAg2 after structural relaxation, as listed in Alexandria.

a b c (Å): 3.4014 3.4014 8.2011
angles (deg): 90.00 90.00 90.00
Last column: nearest neighbours and their distance in Å.
Sites, in units of the cell vectors:
Ba 0.0000 0.0000 0.0000  4 Ba 3.40, 8 Ag 3.50
Ta 0.0000 0.0000 0.5000  8 Ag 2.87
Ag 0.5000 0.5000 0.3092  4 Ta 2.87, 1 Ag 3.13
Ag 0.5000 0.5000 0.6908  4 Ta 2.87, 1 Ag 3.13

The symmetry is No. 123. The crystal system is tetragonal. As for the energy above the most stable polymorph in this dataset: 0.000 eV/atom.

Calculated density
In order: 7549 8747 9345
Unit: kg/m³